a) Material: Ti8Sn2H3
Method: DFT, GGA-PBE
State: optimized geometry

Values from the calculation:
* magnetization: 1.51 μB per cell
* SG: P4/mmm (123)

a = 4.068 Å, b = 4.068 Å, c = 11.274 Å
α = 90.00°, β = 90.00°, γ = 90.00°
Each line ends with the local moment (μB).
Fractional coordinates of all 13 atoms:
H 0.500 0.500 0.638  0.00
Ti 0.500 0.000 0.000  0.06
Sn 0.000 0.000 0.811  0.00
Ti 0.500 0.000 0.378  0.28
Ti 0.000 0.500 0.622  0.28
H 0.500 0.500 0.362  0.00
Ti 0.500 0.000 0.622  0.28
Ti 0.000 0.500 0.000  0.06
Ti 0.500 0.500 0.195  -0.01
Sn 0.000 0.000 0.189  0.00
Ti 0.000 0.500 0.378  0.28
H 0.500 0.500 0.000  0.00
Ti 0.500 0.500 0.805  -0.01

---

b) Material: Ti8Sn2H3
Method: DFT, GGA-PBE
State: optimized geometry

Values from the calculation:
* magnetization: 0.00 μB per cell
* SG: C2/m (12)

a = 5.329 Å, b = 5.570 Å, c = 7.303 Å
α = 112.42°, β = 99.42°, γ = 90.00°
Fractional coordinates of all 13 atoms:
H 0.500 0.000 0.000
Ti 0.907 0.590 0.180
Ti 0.646 0.180 0.854
H 0.000 0.744 0.000
Ti 0.174 0.816 0.632
Ti 0.826 0.184 0.368
Ti 0.354 0.820 0.146
Sn 0.651 0.744 0.488
Ti 0.354 0.326 0.146
H 0.000 0.256 0.000
Ti 0.646 0.674 0.854
Ti 0.093 0.410 0.820
Sn 0.349 0.256 0.512

---

Short version: a), b), most stable first.